No. 1
Compound: Hf3OsCl
Source: Alexandria via LeMat-Bulk
Functional: PBEsol
Structure: optimized geometry

a = 5.018 Å, b = 5.018 Å, c = 5.018 Å
α = 90.00°, β = 90.00°, γ = 90.00°
Fractional positions:
Hf 0.000 0.000 0.500
Hf 0.500 0.000 0.000
Hf 0.000 0.500 0.000
Cl 0.500 0.500 0.500
Os 0.000 0.000 0.000

Values from the calculation:
Calculated volume, Å³ per atom: 25.28
DOS at the Fermi energy, states/eV/cell: 5.19



No. 2
Compound: HfOsCl3
Source: Alexandria via LeMat-Bulk
Functional: PBEsol
Structure: optimized geometry

a = 4.881 Å, b = 4.881 Å, c = 4.881 Å
α = 90.00°, β = 90.00°, γ = 90.00°
Site moments in Bohr magnetons follow the coordinates.
Fractional positions:
Os 0.500 0.500 0.500  3.20
Cl 0.000 0.500 0.000  0.05
Cl 0.500 0.000 0.000  0.05
Cl 0.000 0.000 0.500  0.05
Hf 0.000 0.000 0.000  -0.08

Values from the calculation:
Calculated volume, Å³ per atom: 23.26
DOS at the Fermi energy, states/eV/cell: 7.04



No. 3
Compound: HfOsWCl2
Source: Alexandria via LeMat-Bulk
Functional: PBEsol
Structure: optimized geometry

a = 4.511 Å, b = 4.511 Å, c = 5.257 Å
α = 90.00°, β = 90.00°, γ = 90.00°
Site moments in Bohr magnetons follow the coordinates.
Fractional positions:
Cl 0.500 0.000 0.000  0.00
Hf 0.000 0.000 0.500  -0.04
Os 0.000 0.000 0.000  -0.01
Cl 0.000 0.500 0.000  0.00
W 0.500 0.500 0.500  2.36

Values from the calculation:
Calculated volume, Å³ per atom: 21.40
DOS at the Fermi energy, states/eV/cell: 6.20



Asked for formation energy from raw total energies across the records above, the calculation gives 0.43, 0.53, 1.59 eV/atom in order.
Asked for spin magnetization across the records above, the calculation gives 0.0008, 0.7643, 0.6316 μB per atom in order.